Crystalline ZrReTc2 at its relaxed geometry, computed with PBE-GGA.

Unit cell a=7.271 b=7.271 c=5.460 alpha=90.00 beta=90.00 gamma=90.00
Space group I-42d (No. 122)
Inequivalent atoms, fractional coordinates:
1 Zr 0.000 0.000 0.000 x4
2 Re 0.000 0.000 0.500 x4
3 Tc 0.212 0.250 0.625 x8

**Crystal system**: tetragonal
**Density of states at the Fermi level**: 29.205 states/eV/cell
**ΔH_f (0 K)**: 0.5076 eV/atom
**ρ**: 10.89 g/cm³